{
  "formula": "CsGdZnTe3",
  "functional": "GGA-PBE",
  "state": "optimized geometry",
  "lattice": [[4.468, 0.000, 0.000], [0.000, 11.839, 0.000], [-2.231, 0.000, 8.645]],
  "species": ["Cs", "Cs", "Gd", "Gd", "Zn", "Zn", "Te", "Te", "Te", "Te", "Te", "Te"],
  "frac_coords": [[0.247, 0.250, 0.493], [0.753, 0.750, 0.507], [0.500, 0.000, 0.000], [0.500, 0.500, 0.000], [0.036, 0.750, 0.072], [0.964, 0.250, 0.928], [0.119, 0.561, 0.239], [0.119, 0.939, 0.239], [0.440, 0.750, 0.881], [0.560, 0.250, 0.119], [0.881, 0.061, 0.761], [0.881, 0.439, 0.761]],
  "formation_energy_uncorrected_ev_per_atom": -1.120
}

{
  "formula": "TaNiSb4",
  "functional": "GGA-PBE",
  "state": "optimized geometry",
  "lattice": [[0.000, 4.200, 4.200], [4.200, 0.000, 4.200], [4.200, 4.200, 0.000]],
  "species": ["Ta", "Ni", "Sb", "Sb", "Sb", "Sb"],
  "frac_coords": [[0.000, 0.000, 0.000], [0.750, 0.750, 0.750], [0.375, 0.375, 0.375], [0.375, 0.375, 0.875], [0.375, 0.875, 0.375], [0.875, 0.375, 0.375]],
  "formation_energy_uncorrected_ev_per_atom": 1.134
}

{
  "formula": "Na3PbN",
  "functional": "GGA-PBE",
  "state": "optimized geometry",
  "lattice": [[4.852, 0.000, 0.000], [0.000, 4.852, 0.000], [0.000, 0.000, 4.852]],
  "species": ["Na", "Na", "Na", "Pb", "N"],
  "frac_coords": [[0.000, 0.000, 0.500], [0.000, 0.500, 0.000], [0.500, 0.000, 0.000], [0.500, 0.500, 0.500], [0.000, 0.000, 0.000]],
  "formation_energy_uncorrected_ev_per_atom": 0.357,
  "de_polymorph_mev_per_atom": 0
}

{
  "formula": "Mg2AlV",
  "functional": "GGA-PBE",
  "state": "optimized geometry",
  "lattice": [[-3.803, 3.803, 2.753], [3.803, -3.803, 2.753], [3.803, 3.803, -2.753]],
  "species": ["Mg", "Mg", "Mg", "Mg", "Al", "Al", "V", "V"],
  "frac_coords": [[0.118, 0.625, 0.993], [0.375, 0.368, 0.493], [0.632, 0.125, 0.007], [0.875, 0.882, 0.507], [0.000, 0.000, 0.000], [0.750, 0.250, 0.500], [0.250, 0.750, 0.500], [0.500, 0.500, 0.000]],
  "formation_enthalpy_0k_ev_per_atom": 0.562
}

{
  "formula": "ReBi",
  "functional": "GGA-PBE",
  "state": "optimized geometry",
  "lattice": [[-1.603, 6.414, 3.298], [1.603, -6.414, 3.298], [1.603, 6.414, -3.298]],
  "species": ["Re", "Re", "Re", "Bi", "Bi", "Bi"],
  "frac_coords": [[0.000, 0.000, 0.000], [0.665, 0.270, 0.395], [0.875, 0.270, 0.605], [0.366, 0.657, 0.709], [0.461, 0.461, 0.000], [0.949, 0.657, 0.291]],
  "de_polymorph_mev_per_atom": 119,
  "formation_enthalpy_0k_ev_per_atom": 0.677
}

{
  "formula": "ScPaTe6",
  "functional": "GGA-PBE",
  "state": "optimized geometry",
  "lattice": [[5.381, 0.000, 0.000], [-1.220, 6.609, 0.000], [-2.000, -2.474, 7.632]],
  "species": ["Sc", "Pa", "Te", "Te", "Te", "Te", "Te", "Te"],
  "frac_coords": [[0.000, 0.000, 0.000], [0.000, 0.500, 0.500], [0.036, 0.727, 0.232], [0.302, 0.963, 0.749], [0.382, 0.387, 0.265], [0.618, 0.613, 0.735], [0.698, 0.037, 0.251], [0.964, 0.273, 0.768]],
  "formation_energy_uncorrected_ev_per_atom": -0.578,
  "de_polymorph_mev_per_atom": 115
}

{
  "formula": "OF",
  "functional": "GGA-PBE",
  "state": "optimized geometry",
  "lattice": [[3.694, 0.000, 0.000], [-0.027, 3.790, 0.000], [-0.495, -1.888, 4.401]],
  "species": ["O", "O", "F", "F"],
  "frac_coords": [[0.000, 0.000, 0.000], [0.004, 0.865, 0.728], [0.284, 0.792, 0.163], [0.719, 0.492, 0.565]],
  "formation_energy_uncorrected_ev_per_atom": -0.141,
  "de_polymorph_mev_per_atom": 4
}

{
  "formula": "Pm3Mg2Pb6",
  "functional": "GGA-PBE",
  "state": "optimized geometry",
  "lattice": [[-2.385, 2.385, 14.970], [2.385, -2.385, 14.970], [2.385, 2.385, -14.970]],
  "species": ["Pm", "Pm", "Pm", "Mg", "Mg", "Pb", "Pb", "Pb", "Pb", "Pb", "Pb"],
  "frac_coords": [[0.000, 0.000, 0.000], [0.160, 0.160, 0.000], [0.840, 0.840, 0.000], [0.361, 0.361, 0.000], [0.639, 0.639, 0.000], [0.077, 0.577, 0.500], [0.266, 0.266, 0.000], [0.423, 0.923, 0.500], [0.577, 0.077, 0.500], [0.734, 0.734, 0.000], [0.923, 0.423, 0.500]],
  "formation_enthalpy_0k_ev_per_atom": -0.258
}

{
  "formula": "PuNpIrOs",
  "functional": "GGA-PBE",
  "state": "optimized geometry",
  "lattice": [[0.000, 3.401, 3.401], [3.401, 0.000, 3.401], [3.401, 3.401, 0.000]],
  "species": ["Pu", "Np", "Ir", "Os"],
  "frac_coords": [[0.000, 0.000, 0.000], [0.500, 0.500, 0.500], [0.250, 0.250, 0.250], [0.750, 0.750, 0.750]],
  "formation_enthalpy_0k_ev_per_atom": -0.094
}

{
  "formula": "HIrIN2",
  "functional": "GGA-PBE",
  "state": "optimized geometry",
  "lattice": [[4.000, 0.000, 0.000], [0.000, 4.000, 0.000], [0.000, 0.000, 3.502]],
  "species": ["H", "Ir", "I", "N", "N"],
  "frac_coords": [[0.000, 0.000, 0.000], [0.500, 0.500, 0.500], [0.000, 0.000, 0.500], [0.000, 0.500, 0.000], [0.500, 0.000, 0.000]],
  "de_polymorph_mev_per_atom": 1318
}

{
  "formula": "Pm2GePIr6",
  "functional": "GGA-PBE",
  "state": "optimized geometry",
  "lattice": [[5.446, 0.000, 0.000], [0.000, 8.700, 0.000], [0.000, 0.000, 8.027]],
  "species": ["Pm", "Pm", "Pm", "Pm", "Ge", "Ge", "P", "P", "Ir", "Ir", "Ir", "Ir", "Ir", "Ir", "Ir", "Ir", "Ir", "Ir", "Ir", "Ir"],
  "frac_coords": [[0.250, 0.017, 0.214], [0.250, 0.483, 0.214], [0.750, 0.517, 0.786], [0.750, 0.983, 0.786], [0.250, 0.750, 0.761], [0.750, 0.250, 0.239], [0.250, 0.250, 0.750], [0.750, 0.750, 0.250], [0.009, 0.750, 0.025], [0.009, 0.750, 0.479], [0.250, 0.502, 0.593], [0.250, 0.998, 0.593], [0.491, 0.750, 0.025], [0.491, 0.750, 0.479], [0.509, 0.250, 0.521], [0.509, 0.250, 0.975], [0.750, 0.002, 0.407], [0.750, 0.498, 0.407], [0.991, 0.250, 0.521], [0.991, 0.250, 0.975]],
  "formation_enthalpy_0k_ev_per_atom": -0.490
}

{
  "formula": "FeP2OsS",
  "functional": "GGA-PBE",
  "state": "optimized geometry",
  "lattice": [[4.424, 0.000, 0.000], [0.000, 4.424, 0.000], [0.000, 0.000, 5.288]],
  "species": ["Fe", "P", "P", "Os", "S"],
  "frac_coords": [[0.000, 0.000, 0.000], [0.000, 0.500, 0.500], [0.500, 0.000, 0.500], [0.500, 0.500, 0.500], [0.500, 0.500, 0.000]],
  "formation_energy_uncorrected_ev_per_atom": 0.984,
  "de_polymorph_mev_per_atom": 0
}

{
  "formula": "BaIn3Ag",
  "functional": "GGA-PBE",
  "state": "optimized geometry",
  "lattice": [[5.451, 0.000, 0.000], [0.000, 5.451, 0.000], [0.000, 0.000, 5.451]],
  "species": ["Ba", "In", "In", "In", "Ag"],
  "frac_coords": [[0.000, 0.000, 0.000], [0.000, 0.500, 0.500], [0.500, 0.000, 0.500], [0.500, 0.500, 0.000], [0.500, 0.500, 0.500]],
  "formation_enthalpy_0k_ev_per_atom": -0.085
}

{
  "formula": "Ac2La15Pr2",
  "functional": "GGA-PBE",
  "state": "optimized geometry",
  "lattice": [[5.894, 3.403, 6.011], [-5.894, 3.403, 6.011], [0.000, -6.805, 6.011]],
  "species": ["Ac", "Ac", "La", "La", "La", "La", "La", "La", "La", "La", "La", "La", "La", "La", "La", "La", "La", "Pr", "Pr"],
  "frac_coords": [[0.167, 0.167, 0.167], [0.833, 0.833, 0.833], [0.000, 0.500, 0.500], [0.136, 0.136, 0.653], [0.136, 0.653, 0.136], [0.202, 0.500, 0.798], [0.202, 0.798, 0.500], [0.347, 0.864, 0.864], [0.500, 0.000, 0.500], [0.500, 0.202, 0.798], [0.500, 0.500, 0.000], [0.500, 0.798, 0.202], [0.653, 0.136, 0.136], [0.798, 0.202, 0.500], [0.798, 0.500, 0.202], [0.864, 0.347, 0.864], [0.864, 0.864, 0.347], [0.409, 0.409, 0.409], [0.591, 0.591, 0.591]],
  "formation_enthalpy_0k_ev_per_atom": 0.169
}

{
  "formula": "Tl2AsOs",
  "functional": "GGA-PBE",
  "state": "optimized geometry",
  "lattice": [[-3.142, 3.142, 6.331], [3.142, -3.142, 6.331], [3.142, 3.142, -6.331]],
  "species": ["Tl", "Tl", "Tl", "Tl", "As", "As", "Os", "Os"],
  "frac_coords": [[0.112, 0.625, 0.987], [0.375, 0.362, 0.487], [0.638, 0.125, 0.013], [0.875, 0.888, 0.513], [0.250, 0.750, 0.500], [0.500, 0.500, 0.000], [0.000, 0.000, 0.000], [0.750, 0.250, 0.500]],
  "de_polymorph_mev_per_atom": 1024,
  "formation_enthalpy_0k_ev_per_atom": 1.282
}

{
  "formula": "CuGe3S",
  "functional": "GGA-PBE",
  "state": "optimized geometry",
  "lattice": [[4.699, 0.000, 0.000], [0.000, 4.699, 0.000], [0.000, 0.000, 4.699]],
  "species": ["Cu", "Ge", "Ge", "Ge", "S"],
  "frac_coords": [[0.000, 0.000, 0.000], [0.000, 0.000, 0.500], [0.000, 0.500, 0.000], [0.500, 0.000, 0.000], [0.500, 0.500, 0.500]],
  "formation_energy_uncorrected_ev_per_atom": 0.477,
  "de_polymorph_mev_per_atom": 0
}

{
  "formula": "KPtCl5",
  "functional": "GGA-PBE",
  "state": "optimized geometry",
  "lattice": [[6.712, -3.821, 0.000], [6.712, 3.821, 0.000], [-3.045, 0.000, 8.359]],
  "species": ["K", "K", "Pt", "Pt", "Cl", "Cl", "Cl", "Cl", "Cl", "Cl", "Cl", "Cl", "Cl", "Cl"],
  "frac_coords": [[0.028, 0.972, 0.750], [0.972, 0.028, 0.250], [0.500, 0.500, 0.000], [0.500, 0.500, 0.500], [0.154, 0.583, 0.895], [0.154, 0.584, 0.470], [0.392, 0.608, 0.250], [0.416, 0.846, 0.030], [0.417, 0.846, 0.605], [0.583, 0.154, 0.395], [0.584, 0.154, 0.970], [0.608, 0.392, 0.750], [0.846, 0.416, 0.530], [0.846, 0.417, 0.105]],
  "formation_energy_uncorrected_ev_per_atom": -0.825
}

{
  "formula": "GaPdI3",
  "functional": "GGA-PBE",
  "state": "optimized geometry",
  "lattice": [[5.633, 0.000, 0.000], [0.000, 5.633, 0.000], [0.000, 0.000, 5.633]],
  "species": ["Ga", "Pd", "I", "I", "I"],
  "frac_coords": [[0.000, 0.000, 0.000], [0.500, 0.500, 0.500], [0.000, 0.000, 0.500], [0.000, 0.500, 0.000], [0.500, 0.000, 0.000]],
  "formation_energy_uncorrected_ev_per_atom": 0.363,
  "de_polymorph_mev_per_atom": 494
}

{
  "formula": "Ba3HfC",
  "functional": "GGA-PBE",
  "state": "optimized geometry",
  "lattice": [[5.753, 0.000, 0.000], [0.000, 5.753, 0.000], [0.000, 0.000, 5.753]],
  "species": ["Ba", "Ba", "Ba", "Hf", "C"],
  "frac_coords": [[0.000, 0.000, 0.500], [0.000, 0.500, 0.000], [0.500, 0.000, 0.000], [0.500, 0.500, 0.500], [0.000, 0.000, 0.000]],
  "de_polymorph_mev_per_atom": 0,
  "formation_enthalpy_0k_ev_per_atom": 1.039
}

{
  "formula": "KRb2NpS4",
  "functional": "GGA-PBE",
  "state": "optimized geometry",
  "lattice": [[7.734, 0.000, 0.000], [0.000, 4.200, 0.000], [-2.548, 0.000, 7.553]],
  "species": ["K", "Rb", "Rb", "Np", "S", "S", "S", "S"],
  "frac_coords": [[0.000, 0.000, 0.000], [0.000, 0.500, 0.500], [0.500, 0.000, 0.500], [0.500, 0.500, 0.000], [0.296, 0.500, 0.192], [0.304, 0.000, 0.809], [0.696, 0.000, 0.191], [0.704, 0.500, 0.808]],
  "formation_energy_uncorrected_ev_per_atom": -1.225
}